## LiPmTiPt2 (PBE)

Data for an optimized crystal structure of LiPmTiPt2.

Its density of states at the Fermi level is 0.686 states/eV/atom. The calculation puts the theoretical density at 10.20 g/cm³. The calculation puts the energy of formation at -802.0 meV/atom.

It has space group I-4m2 (No. 119), with a = 3.997 Å, b = 3.997 Å, c = 12.032 Å, α = 90.00°, β = 90.00° and γ = 90.00°. The distinct sites, in fractional coordinates, are Li at (0.000, 0.000, 0.000), Pm at (0.000, 0.500, 0.750), Ti at (0.000, 0.000, 0.500) and Pt at (0.000, 0.500, 0.135).